Entry from Alexandria: crystalline MnReTeO2 at its relaxed geometry (PBE+U).

Cell: 3.815 6.199 3.815 Å, 90.00 90.00 90.00°
Fractional coordinates of all 5 atoms:
Re  0.000  0.000  0.000
Te  0.500  0.500  0.500
O  0.000  0.000  0.500
O  0.500  0.000  0.000
Mn  0.000  0.500  0.000

Values from the calculation:
Uncorrected energy ... -0.53067 Ry/atom
DOS at the Fermi energy ... 3.12 states/eV/cell
Total magnetization ... 4.21 μB/f.u.
Volume ... 90 Å³/cell